# 1
Here is a relaxed structure of CaAcDyIn from Alexandria. Energies are from GGA-PBE.

a = 5.7285 Å, b = 5.7285 Å, c = 5.7285 Å
α = 60.00°, β = 60.00°, γ = 60.00°
Last column: nearest neighbours and their distance in Å.
Positions (direct):
Ca1 0.0000 0.0000 0.0000  4 In 3.51, 4 Ac 3.51
Ac1 0.2500 0.2500 0.2500  4 Dy 3.51, 4 Ca 3.51
Dy1 0.5000 0.5000 0.5000  4 In 3.51, 4 Ac 3.51
In1 0.7500 0.7500 0.7500  4 Ca 3.51, 4 Dy 3.51

Properties
E_tot = -3.36 eV/atom
SG = No. 216
density = 6.801 g cm⁻³
energy relative to the elements = 0.00 eV/atom

***

# 2
Here is a relaxed structure of Ba3NbPd2O9 from Alexandria. Energies are from GGA-PBE.

a = 5.8321 Å, b = 5.8321 Å, c = 7.1623 Å
α = 90.00°, β = 90.00°, γ = 120.00°
Last column: nearest neighbours and their distance in Å.
Positions (direct):
Ba1 0.0000 0.0000 0.0000  12 O 2.92-2.93
Ba2 0.3333 0.6667 0.6839  12 O 2.82-3.01
Ba3 0.6667 0.3333 0.3161  12 O 2.82-3.01
Nb1 0.0000 0.0000 0.5000  6 O 2.01
Pd1 0.3333 0.6667 0.1708  6 O 2.08-2.10
Pd2 0.6667 0.3333 0.8292  6 O 2.08-2.10
O1 0.0000 0.5000 0.0000  2 Pd 2.08
O2 0.1631 0.3262 0.3385  1 Nb 2.01, 1 Pd 2.10
O3 0.1631 0.8369 0.3385  1 Nb 2.01, 1 Pd 2.10
O4 0.3262 0.1631 0.6615  1 Nb 2.01, 1 Pd 2.10
O5 0.5000 0.0000 0.0000  2 Pd 2.08
O6 0.5000 0.5000 0.0000  2 Pd 2.08
O7 0.6738 0.8369 0.3385  1 Nb 2.01, 1 Pd 2.10
O8 0.8369 0.1631 0.6615  1 Nb 2.01, 1 Pd 2.10
O9 0.8369 0.6738 0.6615  1 Nb 2.01, 1 Pd 2.10

Properties
E_tot = -6.61 eV/atom
SG = No. 164
density = 6.782 g cm⁻³
energy relative to the elements, uncorrected = -1.89 eV/atom

***

# 3
Here is a relaxed structure of CsNa2TmBr6 from Alexandria. Energies are from GGA-PBE.

a = 8.3499 Å, b = 8.3499 Å, c = 8.3499 Å
α = 54.75°, β = 54.75°, γ = 54.75°
Last column: nearest neighbours and their distance in Å.
Positions (direct):
Cs1 0.0000 0.0000 0.0000  6 Br 3.51-3.86
Na1 0.2742 0.2742 0.2742  6 Br 3.04-3.12
Na2 0.7956 0.7956 0.7956  6 Br 2.95-3.11
Tm1 0.4665 0.4665 0.4665  6 Br 2.79-2.80
Br1 0.0686 0.6010 0.4745  1 Tm 2.80, 2 Na 2.95-3.12
Br2 0.2300 0.5315 0.8469  1 Tm 2.79, 2 Na 3.04-3.11
Br3 0.4745 0.0686 0.6010  1 Tm 2.80, 2 Na 2.95-3.12
Br4 0.5315 0.8469 0.2300  1 Tm 2.79, 2 Na 3.04-3.11
Br5 0.6010 0.4745 0.0686  1 Tm 2.80, 2 Na 2.95-3.12
Br6 0.8469 0.2300 0.5315  1 Tm 2.79, 2 Na 3.04-3.11

Properties
E_tot = -3.53 eV/atom
SG = No. 146
density = 3.803 g cm⁻³
energy relative to the elements, uncorrected = -1.73 eV/atom